(1)
LuZrBeNi: optimized geometry, PBE.

Results
Final energy: -5.7911 eV/atom

Cell lengths 6.5190, 6.5190, 6.5190 Å; angles 90.00, 90.00, 90.00 degrees
Closest atoms and distances in Å follow each position.
Space group F-43m (No. 216)
Inequivalent atoms, fractional coordinates:
Lu1 0.0000 0.0000 0.0000 (multiplicity 4)  4 Ni 2.82, 4 Be 2.82
Zr1 0.0000 0.0000 0.5000 (multiplicity 4)  4 Be 2.82, 4 Ni 2.82
Be1 0.2500 0.2500 0.7500 (multiplicity 4)  4 Zr 2.82, 4 Lu 2.82
Ni1 0.2500 0.2500 0.2500 (multiplicity 4)  4 Zr 2.82, 4 Lu 2.82

(2)
Lu3BeO: optimized geometry, PBE.

Results
Final energy: -5.5010 eV/atom
Raw formation energy: -1.051 eV per atom

Cell lengths 4.5473, 4.5473, 4.5473 Å; angles 90.00, 90.00, 90.00 degrees
Closest atoms and distances in Å follow each position.
Space group Pm-3m (No. 221)
Inequivalent atoms, fractional coordinates:
Lu1 0.0000 0.0000 0.5000 (multiplicity 3)  2 O 2.27
Be1 0.5000 0.5000 0.5000 (multiplicity 1)  12 Lu 3.22
O1 0.0000 0.0000 0.0000 (multiplicity 1)  6 Lu 2.27

(3)
Lu2BeOs: optimized geometry, PBE.

Results
Final energy: -6.1567 eV/atom
Distance to the lowest polymorph of the same formula: 0.028 eV per atom

Cell lengths 3.3695, 3.3695, 6.6299 Å; angles 90.00, 90.00, 90.00 degrees
Closest atoms and distances in Å follow each position.
Space group P4/mmm (No. 123)
Inequivalent atoms, fractional coordinates:
Lu1 0.0000 0.0000 0.2434 (multiplicity 2)  4 Os 2.88, 4 Be 2.93
Be1 0.5000 0.5000 0.5000 (multiplicity 1)  8 Lu 2.93
Os1 0.5000 0.5000 0.0000 (multiplicity 1)  8 Lu 2.88

(4)
Lu2BeOs: optimized geometry, PBE.

Results
Final energy: -6.1845 eV/atom
Distance to the lowest polymorph of the same formula: 0.000 eV per atom

Cell lengths 6.6762, 6.6762, 6.6762 Å; angles 90.00, 90.00, 90.00 degrees
Closest atoms and distances in Å follow each position.
Space group Fm-3m (No. 225)
Inequivalent atoms, fractional coordinates:
Lu1 0.2500 0.2500 0.2500 (multiplicity 8)  4 Be 2.89, 4 Os 2.89
Be1 0.0000 0.0000 0.0000 (multiplicity 4)  8 Lu 2.89
Os1 0.0000 0.0000 0.5000 (multiplicity 4)  8 Lu 2.89

(5)
LuBeOs: optimized geometry, PBE.

Results
Final energy: -6.7143 eV/atom

Cell lengths 3.9885, 3.9885, 3.5972 Å; angles 90.00, 90.00, 120.00 degrees
Closest atoms and distances in Å follow each position.
Space group P-6m2 (No. 187)
Inequivalent atoms, fractional coordinates:
Lu1 0.0000 0.0000 0.0000 (multiplicity 1)  6 Be 2.92, 6 Os 2.92
Be1 0.3333 0.6667 0.5000 (multiplicity 1)  3 Os 2.30
Os1 0.6667 0.3333 0.5000 (multiplicity 1)  3 Be 2.30

(6)
LuBe4Os: optimized geometry, PBE.

Results
Final energy: -5.3426 eV/atom

Cell lengths 6.5280, 6.5280, 6.5280 Å; angles 90.00, 90.00, 90.00 degrees
Closest atoms and distances in Å follow each position.
Space group F-43m (No. 216)
Inequivalent atoms, fractional coordinates:
Lu1 0.0000 0.0000 0.0000 (multiplicity 4)  12 Be 2.71, 4 Os 2.83
Be1 0.1220 0.1220 0.3780 (multiplicity 16)  6 Be 2.25-2.36
Os1 0.2500 0.2500 0.7500 (multiplicity 4)  12 Be 2.70, 4 Lu 2.83

(7)
PmLuBeOs: optimized geometry, PBE.

Results
Final energy: -6.0692 eV/atom

Cell lengths 6.8528, 6.8528, 6.8528 Å; angles 90.00, 90.00, 90.00 degrees
Closest atoms and distances in Å follow each position.
Space group F-43m (No. 216)
Inequivalent atoms, fractional coordinates:
Pm1 0.0000 0.0000 0.0000 (multiplicity 4)  4 Os 2.97, 4 Be 2.97
Lu1 0.0000 0.0000 0.5000 (multiplicity 4)  4 Be 2.97, 4 Os 2.97
Be1 0.2500 0.2500 0.2500 (multiplicity 4)  4 Pm 2.97, 4 Lu 2.97
Os1 0.2500 0.2500 0.7500 (multiplicity 4)  4 Lu 2.97, 4 Pm 2.97

(8)
LuScBeOs: optimized geometry, PBE.

Results
Final energy: -6.6749 eV/atom

Cell lengths 6.5453, 6.5453, 6.5453 Å; angles 90.00, 90.00, 90.00 degrees
Closest atoms and distances in Å follow each position.
Space group F-43m (No. 216)
Inequivalent atoms, fractional coordinates:
Lu1 0.0000 0.0000 0.0000 (multiplicity 4)  4 Be 2.83, 4 Os 2.83
Sc1 0.0000 0.0000 0.5000 (multiplicity 4)  4 Os 2.83, 4 Be 2.83
Be1 0.2500 0.2500 0.2500 (multiplicity 4)  4 Sc 2.83, 4 Lu 2.83
Os1 0.2500 0.2500 0.7500 (multiplicity 4)  4 Sc 2.83, 4 Lu 2.83

(9)
YLuBeOs: optimized geometry, PBE.

Results
Final energy: -6.5969 eV/atom

Cell lengths 6.7640, 6.7640, 6.7640 Å; angles 90.00, 90.00, 90.00 degrees
Closest atoms and distances in Å follow each position.
Space group F-43m (No. 216)
Inequivalent atoms, fractional coordinates:
Y1 0.0000 0.0000 0.0000 (multiplicity 4)  4 Os 2.93, 4 Be 2.93
Lu1 0.0000 0.0000 0.5000 (multiplicity 4)  4 Os 2.93, 4 Be 2.93
Be1 0.2500 0.2500 0.2500 (multiplicity 4)  4 Y 2.93, 4 Lu 2.93
Os1 0.2500 0.2500 0.7500 (multiplicity 4)  4 Y 2.93, 4 Lu 2.93

(10)
Lu2BeP: optimized geometry, PBE.

Results
Final energy: -4.5004 eV/atom

Cell lengths 3.6980, 3.6980, 26.6296 Å; angles 90.00, 90.00, 120.00 degrees
Closest atoms and distances in Å follow each position.
Space group R-3m (No. 166, hexagonal axes)
Inequivalent atoms, fractional coordinates:
Lu1 0.0000 0.0000 0.1069 (multiplicity 6)  3 P 2.66, 1 Be 2.85
Be1 0.0000 0.0000 0.0000 (multiplicity 3)  2 Lu 2.85
P1 0.0000 0.0000 0.5000 (multiplicity 3)  6 Lu 2.66

(11)
Lu3BePb: optimized geometry, PBE.

Results
Final energy: -4.2516 eV/atom

Cell lengths 5.0677, 5.0677, 5.0677 Å; angles 90.00, 90.00, 90.00 degrees
Closest atoms and distances in Å follow each position.
Space group Pm-3m (No. 221)
Inequivalent atoms, fractional coordinates:
Lu1 0.0000 0.0000 0.5000 (multiplicity 3)  2 Be 2.53
Be1 0.0000 0.0000 0.0000 (multiplicity 1)  6 Lu 2.53
Pb1 0.5000 0.5000 0.5000 (multiplicity 1)  12 Lu 3.58

(12)
Lu2BePd: optimized geometry, PBE.

Results
Final energy: -4.9176 eV/atom
Distance to the lowest polymorph of the same formula: 0.043 eV per atom

Cell lengths 6.8031, 6.8031, 6.8031 Å; angles 90.00, 90.00, 90.00 degrees
Closest atoms and distances in Å follow each position.
Space group Fm-3m (No. 225)
Inequivalent atoms, fractional coordinates:
Lu1 0.2500 0.2500 0.2500 (multiplicity 8)  4 Be 2.95, 4 Pd 2.95
Be1 0.0000 0.0000 0.0000 (multiplicity 4)  8 Lu 2.95
Pd1 0.0000 0.0000 0.5000 (multiplicity 4)  8 Lu 2.95